4
Lattice="5.490 0.000 0.000 2.745 4.754 0.000 2.745 1.585 4.483" Properties=species:S:1:pos:R:3 comment="ErLu2Pu, optimized geometry, DFT GGA-PBE" e_form_ev_per_atom=0.1613 space_group=Fm-3m n_ef_per_ev_cell=8.8 pbc="T T T"
Er 0.000 0.000 0.000
Lu 2.745 1.585 1.121
Lu 8.235 4.754 3.362
Pu 5.490 3.170 2.241